This record from Alexandria describes a relaxed structure of ErSc3Cd. The functional is PBE.

POSCAR file:
```
ErSc3Cd
1.0
-1.475 4.147 2.886
2.999 -5.544 4.812
5.748 2.517 -0.680
Er Sc Cd
2 6 2
Direct
0.100 0.692 0.750
0.900 0.308 0.250
0.690 0.880 0.000
0.310 0.120 0.500
0.505 0.526 0.250
0.310 0.120 0.000
0.495 0.474 0.750
0.690 0.880 0.500
0.875 0.241 0.750
0.125 0.759 0.250
```

Values from the calculation:
Space-group type: No. 11
Spin magnetization (μB per formula unit): 0.9
Mass density (g cm⁻³): 5.5
Formation energy from the elements (meV/atom): 3
E (eV/atom): -4.891
D(E_F) (states/eV/cell): 16.479